Record 1
8
Lattice="7.100 0.000 0.000 0.000 4.102 0.000 -2.366 0.000 6.695" Properties=species:S:1:pos:R:3 comment="Dy2HoTmAs4, optimized geometry, DFT PBE-GGA" m_tot_mub_per_fu=0.00 n_ef_per_ev_atom=0.13 sg="No. 10" rho_g_cm3=8.16 energy_ha_per_atom=-0.2254 formation_energy_ev_per_atom=-1.527 pbc="T T T"
Dy 0.000 0.000 0.000
Dy -1.183 2.051 3.347
Ho 2.367 0.000 3.347
Tm 3.550 2.051 0.000
As 1.198 2.051 1.671
As 0.016 0.000 5.034
As 4.718 0.000 1.660
As 3.536 2.051 5.024

Record 2
4
Lattice="-1.842 3.089 6.334 1.842 -3.089 6.334 1.842 3.089 -6.334" Properties=species:S:1:pos:R:3 comment="Ca2TlZn, optimized geometry, DFT PBE-GGA" m_tot_mub_per_fu=0.00 n_ef_per_ev_atom=0.88 sg="No. 71" rho_g_cm3=4.03 energy_ha_per_atom=-0.0595 formation_energy_ev_per_atom=0.290 pbc="T T T"
Ca 0.000 0.000 2.994
Ca 0.000 0.000 9.674
Tl 0.000 0.000 6.334
Zn 0.000 0.000 0.000

Record 3
10
Lattice="7.911 0.000 0.000 0.000 7.911 0.000 0.000 0.000 3.744" Properties=species:S:1:pos:R:3 comment="Ag2Sn2Hg, optimized geometry, DFT PBE-GGA" polymorph_energy_ev_per_atom=0.028 m_tot_mub_per_fu=0.00 n_ef_per_ev_atom=0.46 sg="No. 127" rho_g_cm3=9.27 energy_ha_per_atom=-0.0996 formation_energy_ev_per_atom=0.092 pbc="T T T"
Ag 1.022 2.933 0.000
Ag 2.933 6.888 0.000
Ag 4.978 1.022 0.000
Ag 6.888 4.978 0.000
Sn 1.335 5.291 1.872
Sn 2.620 1.335 1.872
Sn 5.291 6.576 1.872
Sn 6.576 2.620 1.872
Hg 0.000 0.000 0.000
Hg 3.955 3.955 0.000

Record 4
5
Lattice="4.709 0.000 0.000 0.000 4.709 0.000 0.000 0.000 4.385" Properties=species:S:1:pos:R:3 comment="SrVCu2Ni, optimized geometry, DFT PBE-GGA" m_tot_mub_per_fu=2.77 n_ef_per_ev_atom=0.84 sg="No. 123" rho_g_cm3=5.54 energy_ha_per_atom=-0.1679 formation_energy_ev_per_atom=0.386 pbc="T T T"
Sr 0.000 0.000 0.000
V 2.355 2.355 0.000
Cu 0.000 2.355 2.192
Cu 2.355 0.000 2.192
Ni 2.355 2.355 2.192